[1]
{"formula": "Ag", "functional": "GGA-PBE", "state": "relaxed", "spacegroup": "Im-3m", "total_energy_ev_per_fu": -2.80, "lattice": [[-1.651, 1.651, 1.651], [1.651, -1.651, 1.651], [1.651, 1.651, -1.651]], "species": ["Ag"], "frac_coords": [[0.000, 0.000, 0.000]]}


[2]
{"formula": "Al3Ag", "functional": "GGA-PBE", "state": "relaxed", "spacegroup": "I4/mmm", "total_energy_ev_per_fu": -13.94, "lattice": [[-2.022, 2.022, 4.106], [2.022, -2.022, 4.106], [2.022, 2.022, -4.106]], "species": ["Al", "Al", "Al", "Ag"], "frac_coords": [[0.000, 0.000, 0.000], [0.250, 0.750, 0.500], [0.750, 0.250, 0.500], [0.500, 0.500, 0.000]]}


[3]
{"formula": "AlAg", "functional": "GGA-PBE", "state": "relaxed", "spacegroup": "P-6m2", "total_energy_ev_per_fu": -6.66, "lattice": [[2.937, 0.000, 0.000], [-1.469, 2.544, 0.000], [0.000, 0.000, 4.462]], "species": ["Al", "Ag"], "frac_coords": [[0.000, 0.000, 0.000], [0.333, 0.667, 0.500]]}


[4]
{"formula": "Al3Ag", "functional": "GGA-PBE", "state": "relaxed", "spacegroup": "P6_3/mmc", "total_energy_ev_per_fu": -13.67, "lattice": [[5.798, 0.000, 0.000], [-2.899, 5.021, 0.000], [0.000, 0.000, 4.677]], "species": ["Al", "Al", "Al", "Al", "Al", "Al", "Ag", "Ag"], "frac_coords": [[0.164, 0.329, 0.250], [0.164, 0.836, 0.250], [0.329, 0.164, 0.750], [0.671, 0.836, 0.250], [0.836, 0.164, 0.750], [0.836, 0.671, 0.750], [0.333, 0.667, 0.750], [0.667, 0.333, 0.250]]}


[5]
{"formula": "AlAg", "functional": "GGA-PBE", "state": "relaxed", "spacegroup": "F-43m", "total_energy_ev_per_fu": -5.52, "lattice": [[0.000, 2.913, 2.913], [2.913, 0.000, 2.913], [2.913, 2.913, 0.000]], "species": ["Al", "Ag"], "frac_coords": [[0.000, 0.000, 0.000], [0.250, 0.250, 0.250]]}


[6]
{"formula": "AlAg2", "functional": "GGA-PBE", "state": "relaxed", "spacegroup": "Fd-3m", "total_energy_ev_per_fu": -8.80, "lattice": [[0.000, 3.816, 3.816], [3.816, 0.000, 3.816], [3.816, 3.816, 0.000]], "species": ["Al", "Al", "Ag", "Ag", "Ag", "Ag"], "frac_coords": [[0.125, 0.125, 0.125], [0.875, 0.875, 0.875], [0.000, 0.500, 0.500], [0.500, 0.000, 0.500], [0.500, 0.500, 0.000], [0.500, 0.500, 0.500]]}


Repeat the third record exactly.
{"formula": "AlAg", "functional": "GGA-PBE", "state": "relaxed", "spacegroup": "P-6m2", "total_energy_ev_per_fu": -6.66, "lattice": [[2.937, 0.000, 0.000], [-1.469, 2.544, 0.000], [0.000, 0.000, 4.462]], "species": ["Al", "Ag"], "frac_coords": [[0.000, 0.000, 0.000], [0.333, 0.667, 0.500]]}